Model one:
Material: PuBSb
Method: DFT, PBE
State: relaxed

Calculated values
ρ in g/cm3: 10.57

a = 4.374 Å, b = 4.374 Å, c = 4.374 Å
α = 60.00°, β = 60.00°, γ = 60.00°
Last column: magnetic moment on the atom in μB.
Fractional coordinates of all 3 atoms:
B (0.000, 0.000, 0.000)  0.05
Sb (0.750, 0.750, 0.750)  -0.02
Pu (0.250, 0.250, 0.250)  5.14

=====

Model two:
Material: PuBSb
Method: DFT, PBE
State: relaxed

Calculated values
ρ in g/cm3: 9.49

a = 4.533 Å, b = 4.533 Å, c = 4.533 Å
α = 60.00°, β = 60.00°, γ = 60.00°
Last column: magnetic moment on the atom in μB.
Fractional coordinates of all 3 atoms:
Sb (0.000, 0.000, 0.000)  -0.04
B (0.500, 0.500, 0.500)  0.04
Pu (0.250, 0.250, 0.250)  4.92

=====

Here is how they stack up, most stable first: model one, model two.

=====

Model one:
Material: PuSiB
Method: DFT, PBE
State: relaxed

Calculated values
ρ in g/cm3: 10.13

a = 4.033 Å, b = 4.033 Å, c = 4.033 Å
α = 60.00°, β = 60.00°, γ = 60.00°
Last column: magnetic moment on the atom in μB.
Fractional coordinates of all 3 atoms:
Pu (0.250, 0.250, 0.250)  4.75
Si (0.750, 0.750, 0.750)  0.00
B (0.000, 0.000, 0.000)  0.03

=====

Model two:
Material: PuSiB
Method: DFT, PBE
State: relaxed

Calculated values
ρ in g/cm3: 9.31

a = 4.147 Å, b = 4.147 Å, c = 4.147 Å
α = 60.00°, β = 60.00°, γ = 60.00°
Last column: magnetic moment on the atom in μB.
Fractional coordinates of all 3 atoms:
B (0.250, 0.250, 0.250)  -0.01
Pu (0.000, 0.000, 0.000)  4.46
Si (0.750, 0.750, 0.750)  0.01

=====

Here is how they stack up, most stable first: model one, model two.

=====

Model one:
Material: PuSnB
Method: DFT, PBE
State: relaxed

Calculated values
ρ in g/cm3: 10.63

a = 4.353 Å, b = 4.353 Å, c = 4.353 Å
α = 60.00°, β = 60.00°, γ = 60.00°
Last column: magnetic moment on the atom in μB.
Fractional coordinates of all 3 atoms:
Sn (0.750, 0.750, 0.750)  0.04
B (0.000, 0.000, 0.000)  0.02
Pu (0.250, 0.250, 0.250)  5.16

=====

Model two:
Material: PuSnB
Method: DFT, PBE
State: relaxed

Calculated values
ρ in g/cm3: 8.66

a = 4.661 Å, b = 4.661 Å, c = 4.661 Å
α = 60.00°, β = 60.00°, γ = 60.00°
Last column: magnetic moment on the atom in μB.
Fractional coordinates of all 3 atoms:
Sn (0.250, 0.250, 0.250)  0.04
B (0.750, 0.750, 0.750)  -0.01
Pu (0.000, 0.000, 0.000)  5.06

=====

Model three:
Material: PuSnB
Method: DFT, PBE
State: relaxed

Calculated values
ρ in g/cm3: 8.72

a = 4.652 Å, b = 4.652 Å, c = 4.652 Å
α = 60.00°, β = 60.00°, γ = 60.00°
Last column: magnetic moment on the atom in μB.
Fractional coordinates of all 3 atoms:
Pu (0.500, 0.500, 0.500)  5.51
B (0.000, 0.000, 0.000)  0.01
Sn (0.250, 0.250, 0.250)  0.10

=====

Here is how they stack up, most stable first: model one, model two, model three.

=====

Model one:
Material: PuTaB
Method: DFT, PBE
State: relaxed

Calculated values
ρ in g/cm3: 14.55

a = 4.128 Å, b = 4.128 Å, c = 4.128 Å
α = 60.00°, β = 60.00°, γ = 60.00°
Last column: magnetic moment on the atom in μB.
Fractional coordinates of all 3 atoms:
Ta (0.750, 0.750, 0.750)  0.12
B (0.000, 0.000, 0.000)  -0.05
Pu (0.250, 0.250, 0.250)  4.66

=====

Model two:
Material: PuTaB
Method: DFT, PBE
State: relaxed

Calculated values
ρ in g/cm3: 13.84

a = 4.198 Å, b = 4.198 Å, c = 4.198 Å
α = 60.00°, β = 60.00°, γ = 60.00°
Last column: magnetic moment on the atom in μB.
Fractional coordinates of all 3 atoms:
B (0.250, 0.250, 0.250)  0.03
Ta (0.750, 0.750, 0.750)  -0.11
Pu (0.000, 0.000, 0.000)  4.01

=====

Here is how they stack up, most stable first: model one, model two.